Density functional theory data (PBE+U) for a relaxed structure of ScPaMn2O6.

Unit cell a=5.879 b=5.879 c=5.879 alpha=56.11 beta=56.11 gamma=56.11
Element x y z (fractional)
Sc: 0.000 0.000 0.000
Pa: 0.500 0.500 0.500
Mn: 0.287 0.287 0.287
Mn: 0.787 0.787 0.787
O: 0.108 0.715 0.382
O: 0.204 0.610 0.894
O: 0.382 0.108 0.715
O: 0.610 0.894 0.204
O: 0.715 0.382 0.108
O: 0.894 0.204 0.610

Properties
Calculated volume ... 13.072 Å³/atom
Total magnetization ... 0.01 μB per atom
N(E_F) ... 0.00 states/eV/cell
E ... -88.4 eV/cell